[1]
The following is a DFT calculation (PBE) of LiZn2Co after structural relaxation.

a b c (Å): 8.837 8.837 8.837
angles (deg): 17.30 17.30 17.30
Fractional coordinates of all 4 atoms:
Li1 0.000 0.000 0.000
Zn1 0.579 0.579 0.579
Zn2 0.754 0.754 0.754
Co1 0.167 0.167 0.167

Computed properties:
As for the formation energy: -0.02 eV per atom. The value obtained for the theoretical density is 6132 kg/m³.

***

[2]
The following is a DFT calculation (PBE) of LiZn2Co after structural relaxation.

a b c (Å): 8.913 8.913 8.913
angles (deg): 17.05 17.05 17.05
Fractional coordinates of all 4 atoms:
Li1 0.000 0.000 0.000
Zn1 0.246 0.246 0.246
Zn2 0.754 0.754 0.754
Co1 0.500 0.500 0.500

Computed properties:
As for the formation energy: -0.05 eV per atom. The value obtained for the theoretical density is 6153 kg/m³.

***

[3]
The following is a DFT calculation (PBE) of LiZn11Co after structural relaxation.

a b c (Å): 6.802 6.802 6.635
angles (deg): 97.76 97.76 136.60
Fractional coordinates of all 13 atoms:
Li1 0.000 0.000 0.000
Zn1 0.000 0.500 0.000
Zn2 0.006 0.673 0.645
Zn3 0.274 0.481 0.786
Zn4 0.327 0.994 0.355
Zn5 0.481 0.274 0.786
Zn6 0.500 0.000 0.000
Zn7 0.500 0.500 0.500
Zn8 0.519 0.726 0.214
Zn9 0.673 0.006 0.645
Zn10 0.726 0.519 0.214
Zn11 0.994 0.327 0.355
Co1 0.000 0.000 0.500

Computed properties:
As for the formation energy: -0.05 eV per atom. The value obtained for the theoretical density is 6641 kg/m³.

***

[4]
The following is a DFT calculation (PBE) of Li12Zn6Co after structural relaxation.

a b c (Å): 6.753 6.753 6.753
angles (deg): 88.35 88.35 88.35
Fractional coordinates of all 19 atoms:
Li1 0.025 0.928 0.308
Li2 0.072 0.692 0.975
Li3 0.126 0.462 0.351
Li4 0.308 0.025 0.928
Li5 0.351 0.126 0.462
Li6 0.462 0.351 0.126
Li7 0.538 0.649 0.874
Li8 0.649 0.874 0.538
Li9 0.692 0.975 0.072
Li10 0.874 0.538 0.649
Li11 0.928 0.308 0.025
Li12 0.975 0.072 0.692
Zn1 0.245 0.754 0.609
Zn2 0.246 0.391 0.755
Zn3 0.391 0.755 0.246
Zn4 0.609 0.245 0.754
Zn5 0.754 0.609 0.245
Zn6 0.755 0.246 0.391
Co1 0.500 0.500 0.500

Computed properties:
As for the formation energy: -0.10 eV per atom. The value obtained for the theoretical density is 2887 kg/m³.

***

[5]
The following is a DFT calculation (PBE) of LiZn2Co after structural relaxation.

a b c (Å): 2.896 2.896 6.205
angles (deg): 90.00 90.00 90.00
Fractional coordinates of all 4 atoms:
Li1 0.000 0.000 0.000
Zn1 0.500 0.500 0.273
Zn2 0.500 0.500 0.727
Co1 0.000 0.000 0.500

Computed properties:
As for the formation energy: -0.09 eV per atom. The value obtained for the theoretical density is 6277 kg/m³.

***

[6]
The following is a DFT calculation (PBE) of LiZn2Co after structural relaxation.

a b c (Å): 4.664 4.664 4.520
angles (deg): 100.75 100.75 32.53
Fractional coordinates of all 4 atoms:
Li1 0.000 0.000 0.000
Zn1 0.502 0.502 0.521
Zn2 0.755 0.755 0.210
Co1 0.243 0.243 0.708

Computed properties:
As for the formation energy: -0.04 eV per atom. The value obtained for the theoretical density is 6297 kg/m³.

***

[7]
The following is a DFT calculation (PBE) of LiZn2Co after structural relaxation.

a b c (Å): 2.603 3.631 5.505
angles (deg): 90.00 90.38 90.00
Fractional coordinates of all 4 atoms:
Li1 0.000 0.000 0.000
Zn1 0.499 0.500 0.266
Zn2 0.501 0.500 0.734
Co1 0.000 0.000 0.500

Computed properties:
As for the formation energy: -0.07 eV per atom. The value obtained for the theoretical density is 6278 kg/m³.

***

[8]
The following is a DFT calculation (PBE) of LiZn3Co after structural relaxation.

a b c (Å): 4.576 4.576 4.576
angles (deg): 90.00 90.00 90.00
Fractional coordinates of all 5 atoms:
Li1 0.000 0.000 0.000
Zn1 0.000 0.500 0.500
Zn2 0.500 0.000 0.500
Zn3 0.500 0.500 0.000
Co1 0.500 0.500 0.500

Computed properties:
As for the formation energy: 0.16 eV per atom. The offset from the most stable computed form is 0.248 eV per atom. The value obtained for the theoretical density is 4541 kg/m³.

***

[9]
The following is a DFT calculation (PBE) of LiZn2Co after structural relaxation.

a b c (Å): 4.447 4.447 4.894
angles (deg): 96.21 96.21 33.16
Fractional coordinates of all 4 atoms:
Li1 0.000 0.000 0.000
Zn1 0.242 0.242 0.738
Zn2 0.758 0.758 0.262
Co1 0.500 0.500 0.500

Computed properties:
As for the formation energy: -0.01 eV per atom. The value obtained for the theoretical density is 6208 kg/m³.

***

[10]
The following is a DFT calculation (PBE) of LiZn2Co after structural relaxation.

a b c (Å): 2.562 2.562 8.615
angles (deg): 90.00 90.00 107.73
Fractional coordinates of all 4 atoms:
Li1 0.000 0.000 0.000
Zn1 0.000 0.000 0.527
Zn2 0.500 0.500 0.259
Co1 0.500 0.500 0.760

Computed properties:
As for the formation energy: 0.06 eV per atom. The value obtained for the theoretical density is 6065 kg/m³.

***

[11]
The following is a DFT calculation (PBE) of Li2Zn2Co after structural relaxation.

a b c (Å): 6.251 6.251 3.876
angles (deg): 90.00 90.00 90.00
Fractional coordinates of all 10 atoms:
Li1 0.171 0.329 0.000
Li2 0.329 0.829 0.000
Li3 0.671 0.171 0.000
Li4 0.829 0.671 0.000
Zn1 0.144 0.644 0.500
Zn2 0.356 0.144 0.500
Zn3 0.644 0.856 0.500
Zn4 0.856 0.356 0.500
Co1 0.000 0.000 0.500
Co2 0.500 0.500 0.500

Computed properties:
As for the formation energy: 0.14 eV per atom. The offset from the most stable computed form is 0.008 eV per atom. The value obtained for the theoretical density is 4465 kg/m³.

***

[12]
The following is a DFT calculation (PBE) of LiZn2Co after structural relaxation.

a b c (Å): 4.630 4.630 4.630
angles (deg): 133.78 133.78 67.43
Fractional coordinates of all 4 atoms:
Li1 0.000 0.000 0.000
Zn1 0.250 0.750 0.500
Zn2 0.500 0.500 0.000
Co1 0.750 0.250 0.500

Computed properties:
As for the formation energy: -0.01 eV per atom. The value obtained for the theoretical density is 6421 kg/m³.

***

[13]
The following is a DFT calculation (PBE) of Li4ZnCo after structural relaxation.

a b c (Å): 4.849 4.849 4.849
angles (deg): 60.00 60.00 60.00
Fractional coordinates of all 6 atoms:
Li1 0.376 0.376 0.376
Li2 0.376 0.376 0.873
Li3 0.376 0.873 0.376
Li4 0.873 0.376 0.376
Zn1 0.000 0.000 0.000
Co1 0.750 0.750 0.750

Computed properties:
As for the formation energy: 0.27 eV per atom. The value obtained for the theoretical density is 3133 kg/m³.

***

[14]
The following is a DFT calculation (PBE) of LiZrZnCo after structural relaxation.

a b c (Å): 4.348 4.348 4.348
angles (deg): 60.00 60.00 60.00
Fractional coordinates of all 4 atoms:
Li1 0.000 0.000 0.000
Zr1 0.250 0.250 0.250
Zn1 0.750 0.750 0.750
Co1 0.500 0.500 0.500

Computed properties:
As for the formation energy: -0.11 eV per atom. The value obtained for the theoretical density is 6358 kg/m³.

***

[15]
The following is a DFT calculation (PBE) of LiZr2Co after structural relaxation.

a b c (Å): 3.254 3.265 6.511
angles (deg): 90.00 90.00 90.00
Fractional coordinates of all 4 atoms:
Li1 0.000 0.000 0.000
Zr1 0.500 0.500 0.264
Zr2 0.500 0.500 0.736
Co1 0.000 0.000 0.500

Computed properties:
As for the formation energy: 0.03 eV per atom. The offset from the most stable computed form is 0.057 eV per atom. The value obtained for the theoretical density is 5960 kg/m³.

***

[16]
The following is a DFT calculation (PBE) of Li4ZrCo after structural relaxation.

a b c (Å): 4.979 4.979 4.979
angles (deg): 60.00 60.00 60.00
Fractional coordinates of all 6 atoms:
Li1 0.378 0.378 0.378
Li2 0.378 0.378 0.867
Li3 0.378 0.867 0.378
Li4 0.867 0.378 0.378
Zr1 0.000 0.000 0.000
Co1 0.750 0.750 0.750

Computed properties:
As for the formation energy: 0.33 eV per atom. The value obtained for the theoretical density is 3385 kg/m³.

***

[17]
The following is a DFT calculation (PBE) of LiZrCo2 after structural relaxation.

a b c (Å): 4.882 4.882 4.882
angles (deg): 139.82 131.27 64.94
Fractional coordinates of all 4 atoms:
Li1 0.000 0.000 0.000
Zr1 0.730 0.230 0.500
Co1 0.255 0.755 0.500
Co2 0.472 0.472 0.000

Computed properties:
As for the formation energy: 0.05 eV per atom. The value obtained for the theoretical density is 6446 kg/m³.

***

[18]
The following is a DFT calculation (PBE) of LiZr2Co after structural relaxation.

a b c (Å): 2.982 2.982 8.726
angles (deg): 90.00 90.00 90.00
Fractional coordinates of all 4 atoms:
Li1 0.000 0.000 0.000
Zr1 0.500 0.500 0.303
Zr2 0.500 0.500 0.697
Co1 0.000 0.000 0.500

Computed properties:
As for the formation energy: 0.03 eV per atom. The offset from the most stable computed form is 0.064 eV per atom. The value obtained for the theoretical density is 5314 kg/m³.

***

[19]
The following is a DFT calculation (PBE) of LiZr2Co after structural relaxation.

a b c (Å): 5.855 5.855 5.855
angles (deg): 103.85 103.85 121.43
Fractional coordinates of all 8 atoms:
Li1 0.000 0.000 0.000
Li2 0.750 0.250 0.500
Zr1 0.165 0.625 0.040
Zr2 0.375 0.415 0.540
Zr3 0.585 0.125 0.960
Zr4 0.875 0.835 0.460
Co1 0.250 0.750 0.500
Co2 0.500 0.500 0.000

Computed properties:
As for the formation energy: 0.25 eV per atom. The offset from the most stable computed form is 0.277 eV per atom. The value obtained for the theoretical density is 5521 kg/m³.

***

[20]
The following is a DFT calculation (PBE) of LiZrCo2 after structural relaxation.

a b c (Å): 2.837 3.650 5.444
angles (deg): 90.00 90.00 90.00
Fractional coordinates of all 4 atoms:
Li1 0.000 0.000 0.000
Zr1 0.500 0.500 0.315
Co1 0.000 0.000 0.571
Co2 0.500 0.500 0.787

Computed properties:
As for the formation energy: 0.17 eV per atom. The value obtained for the theoretical density is 6363 kg/m³.

***

[21]
The following is a DFT calculation (PBE) of LiZr2Co after structural relaxation.

a b c (Å): 3.219 3.219 6.836
angles (deg): 90.00 90.00 90.00
Fractional coordinates of all 4 atoms:
Li1 0.000 0.000 0.000
Zr1 0.000 0.000 0.599
Zr2 0.500 0.500 0.288
Co1 0.500 0.500 0.803

Computed properties:
As for the formation energy: 0.06 eV per atom. The offset from the most stable computed form is 0.092 eV per atom. The value obtained for the theoretical density is 5820 kg/m³.

***

[22]
The following is a DFT calculation (PBE) of LiZrCo2 after structural relaxation.

a b c (Å): 5.338 5.338 5.338
angles (deg): 103.80 103.80 121.53
Fractional coordinates of all 8 atoms:
Li1 0.000 0.000 0.000
Li2 0.750 0.250 0.500
Zr1 0.250 0.750 0.500
Zr2 0.500 0.500 0.000
Co1 0.103 0.625 0.978
Co2 0.375 0.353 0.478
Co3 0.647 0.125 0.022
Co4 0.875 0.897 0.522

Computed properties:
As for the formation energy: 0.32 eV per atom. The value obtained for the theoretical density is 6340 kg/m³.

***

[23]
The following is a DFT calculation (PBE) of LiZr2Co after structural relaxation.

a b c (Å): 5.371 5.371 5.371
angles (deg): 138.16 138.16 60.66
Fractional coordinates of all 4 atoms:
Li1 0.000 0.000 0.000
Zr1 0.250 0.750 0.500
Zr2 0.500 0.500 0.000
Co1 0.750 0.250 0.500

Computed properties:
As for the formation energy: 0.14 eV per atom. The offset from the most stable computed form is 0.173 eV per atom. The value obtained for the theoretical density is 6046 kg/m³.

***

[24]
The following is a DFT calculation (PBE) of LiZr2Co after structural relaxation.

a b c (Å): 4.574 4.574 4.574
angles (deg): 60.00 60.00 60.00
Fractional coordinates of all 4 atoms:
Li1 0.000 0.000 0.000
Zr1 0.250 0.250 0.250
Zr2 0.750 0.750 0.750
Co1 0.500 0.500 0.500

Computed properties:
As for the formation energy: -0.03 eV per atom. The offset from the most stable computed form is 0.000 eV per atom. The value obtained for the theoretical density is 6093 kg/m³.

***

[25]
The following is a DFT calculation (PBE) of LiZrCo2 after structural relaxation.

a b c (Å): 3.124 3.124 5.592
angles (deg): 90.00 90.00 90.00
Fractional coordinates of all 4 atoms:
Li1 0.000 0.000 0.000
Zr1 0.000 0.000 0.500
Co1 0.500 0.500 0.229
Co2 0.500 0.500 0.771

Computed properties:
As for the formation energy: 0.01 eV per atom. The value obtained for the theoretical density is 6574 kg/m³.

***

[26]
The following is a DFT calculation (PBE) of LiZr2Co after structural relaxation.

a b c (Å): 9.163 9.163 9.163
angles (deg): 19.70 19.70 19.70
Fractional coordinates of all 4 atoms:
Li1 0.000 0.000 0.000
Zr1 0.531 0.531 0.531
Zr2 0.766 0.766 0.766
Co1 0.264 0.264 0.264

Computed properties:
As for the formation energy: 0.21 eV per atom. The offset from the most stable computed form is 0.237 eV per atom. The value obtained for the theoretical density is 5391 kg/m³.

***

[27]
The following is a DFT calculation (PBE) of LiZrCo2 after structural relaxation.

a b c (Å): 7.989 7.989 7.989
angles (deg): 21.85 21.85 21.85
Fractional coordinates of all 4 atoms:
Li1 0.000 0.000 0.000
Zr1 0.500 0.500 0.500
Co1 0.250 0.250 0.250
Co2 0.750 0.750 0.750

Computed properties:
As for the formation energy: 0.31 eV per atom. The value obtained for the theoretical density is 5797 kg/m³.

***

[28]
The following is a DFT calculation (PBE) of LiZrCo2 after structural relaxation.

a b c (Å): 2.949 2.949 6.954
angles (deg): 90.00 90.00 90.00
Fractional coordinates of all 4 atoms:
Li1 0.000 0.000 0.000
Zr1 0.500 0.500 0.346
Co1 0.000 0.000 0.613
Co2 0.500 0.500 0.776

Computed properties:
As for the formation energy: 0.15 eV per atom. The value obtained for the theoretical density is 5932 kg/m³.